The following is a DFT calculation (GGA-PBE) of a relaxed SbPOF2 crystal.

```
SbPOF2
1.0
4.472 0.000 0.000
0.000 4.472 0.000
0.000 0.000 4.219
Sb P O F
1 1 1 2
Cartesian
0.000 0.000 0.000 Sb
2.236 2.236 2.110 P
0.000 0.000 2.110 O
0.000 2.236 0.000 F
2.236 0.000 0.000 F
```

Values from the calculation:
The calculation puts the formation energy (no corrections) at -662 meV per atom. The volume comes out at 84 Å³ per cell. The space-group type is P4/mmm, No. 123. As for the density of states at the Fermi level: 0.725 states/eV per atom.